(w)
U2ReS: relaxed, GGA-PBE.

N(E_F) ... 9.009 states/eV/f.u.
Space group ... R-3m, No. 166

a = 7.0070 Å, b = 7.0070 Å, c = 7.0070 Å
α = 31.97°, β = 31.97°, γ = 31.97°
Element x y z (fractional)
U1 0.2476 0.2476 0.2476
U2 0.7524 0.7524 0.7524
Re1 0.5000 0.5000 0.5000
S1 0.0000 0.0000 0.0000



(x)
U2ReS: relaxed, GGA-PBE.

N(E_F) ... 8.806 states/eV/f.u.
Space group ... P4/mmm, No. 123

a = 3.2244 Å, b = 3.2244 Å, c = 7.4211 Å
α = 90.00°, β = 90.00°, γ = 90.00°
Element x y z (fractional)
U1 0.0000 0.0000 0.2486
U2 0.0000 0.0000 0.7514
Re1 0.5000 0.5000 0.0000
S1 0.5000 0.5000 0.5000



In terms of stability, (x) leads; the second structure lies 68 meV/atom higher.



(w)
VReS: relaxed, GGA-PBE.

N(E_F) ... 1.945 states/eV/f.u.
Space group ... P4/nmm, No. 129

a = 2.9793 Å, b = 2.9793 Å, c = 9.3740 Å
α = 90.00°, β = 90.00°, γ = 90.00°
Element x y z (fractional)
V1 0.2500 0.2500 0.0998
V2 0.7500 0.7500 0.9002
Re1 0.2500 0.2500 0.4199
Re2 0.7500 0.7500 0.5801
S1 0.2500 0.2500 0.7949
S2 0.7500 0.7500 0.2051



(x)
VReS: relaxed, GGA-PBE.

N(E_F) ... 1.863 states/eV/f.u.
Space group ... P-6m2, No. 187

a = 4.0616 Å, b = 4.0616 Å, c = 2.9049 Å
α = 90.00°, β = 90.00°, γ = 120.00°
Element x y z (fractional)
V1 0.0000 0.0000 0.0000
Re1 0.3333 0.6667 0.5000
S1 0.6667 0.3333 0.5000



In terms of stability, (w) leads; the second structure lies 73 meV/atom higher.



(w)
ReW3S: relaxed, GGA-PBE.

N(E_F) ... 3.846 states/eV/f.u.
Space group ... Pm-3m, No. 221

a = 4.3685 Å, b = 4.3685 Å, c = 4.3685 Å
α = 90.00°, β = 90.00°, γ = 90.00°
Element x y z (fractional)
Re1 0.0000 0.0000 0.0000
W1 0.0000 0.5000 0.5000
W2 0.5000 0.0000 0.5000
W3 0.5000 0.5000 0.0000
S1 0.5000 0.5000 0.5000



(x)
ReW3S: relaxed, GGA-PBE.

N(E_F) ... 6.714 states/eV/f.u.
Space group ... Pm-3m, No. 221

a = 4.7804 Å, b = 4.7804 Å, c = 4.7804 Å
α = 90.00°, β = 90.00°, γ = 90.00°
Element x y z (fractional)
Re1 0.0000 0.0000 0.0000
W1 0.0000 0.0000 0.5000
W2 0.0000 0.5000 0.0000
W3 0.5000 0.0000 0.0000
S1 0.5000 0.5000 0.5000



In terms of stability, (w) leads; the second structure lies 1267 meV/atom higher.



(w)
YReS3: relaxed, GGA-PBE.

N(E_F) ... 4.217 states/eV/f.u.
Space group ... Pm-3m, No. 221

a = 5.1694 Å, b = 5.1694 Å, c = 5.1694 Å
α = 90.00°, β = 90.00°, γ = 90.00°
Element x y z (fractional)
Y1 0.0000 0.0000 0.0000
Re1 0.5000 0.5000 0.5000
S1 0.0000 0.0000 0.5000
S2 0.0000 0.5000 0.0000
S3 0.5000 0.0000 0.0000



(x)
YReS3: relaxed, GGA-PBE.

N(E_F) ... 5.617 states/eV/f.u.
Space group ... Pm-3m, No. 221

a = 4.6600 Å, b = 4.6600 Å, c = 4.6600 Å
α = 90.00°, β = 90.00°, γ = 90.00°
Element x y z (fractional)
Y1 0.0000 0.0000 0.0000
Re1 0.5000 0.5000 0.5000
S1 0.0000 0.5000 0.5000
S2 0.5000 0.0000 0.5000
S3 0.5000 0.5000 0.0000



In terms of stability, (x) leads; the second structure lies 1089 meV/atom higher.



(w)
Zn3ReS: relaxed, GGA-PBE.

N(E_F) ... 4.649 states/eV/f.u.
Space group ... Pm-3m, No. 221

a = 4.4952 Å, b = 4.4952 Å, c = 4.4952 Å
α = 90.00°, β = 90.00°, γ = 90.00°
Element x y z (fractional)
Zn1 0.0000 0.0000 0.5000
Zn2 0.0000 0.5000 0.0000
Zn3 0.5000 0.0000 0.0000
Re1 0.5000 0.5000 0.5000
S1 0.0000 0.0000 0.0000



(x)
Zn3ReS: relaxed, GGA-PBE.

N(E_F) ... 2.831 states/eV/f.u.
Space group ... Pm-3m, No. 221

a = 4.9246 Å, b = 4.9246 Å, c = 4.9246 Å
α = 90.00°, β = 90.00°, γ = 90.00°
Element x y z (fractional)
Zn1 0.0000 0.0000 0.5000
Zn2 0.0000 0.5000 0.0000
Zn3 0.5000 0.0000 0.0000
Re1 0.0000 0.0000 0.0000
S1 0.5000 0.5000 0.5000



In terms of stability, (x) leads; the second structure lies 26 meV/atom higher.



(w)
Zr3ReS: relaxed, GGA-PBE.

N(E_F) ... 7.648 states/eV/f.u.
Space group ... Pm-3m, No. 221

a = 5.0798 Å, b = 5.0798 Å, c = 5.0798 Å
α = 90.00°, β = 90.00°, γ = 90.00°
Element x y z (fractional)
Zr1 0.0000 0.0000 0.5000
Zr2 0.0000 0.5000 0.0000
Zr3 0.5000 0.0000 0.0000
Re1 0.0000 0.0000 0.0000
S1 0.5000 0.5000 0.5000



(x)
Zr3ReS: relaxed, GGA-PBE.

N(E_F) ... 3.464 states/eV/f.u.
Space group ... Pm-3m, No. 221

a = 4.7362 Å, b = 4.7362 Å, c = 4.7362 Å
α = 90.00°, β = 90.00°, γ = 90.00°
Element x y z (fractional)
Zr1 0.0000 0.0000 0.5000
Zr2 0.0000 0.5000 0.0000
Zr3 0.5000 0.0000 0.0000
Re1 0.5000 0.5000 0.5000
S1 0.0000 0.0000 0.0000



In terms of stability, (x) leads; the second structure lies 575 meV/atom higher.